# 1
A plane-wave DFT calculation with GGA-PBE was carried out for BaTe2Se after structural relaxation.

Results
As for the crystal system: orthorhombic. For the formation energy from raw total energies, the calculation gives -0.79 eV per atom. The total magnetization is 0.0 μB per formula unit.

Lattice parameters (Å, degrees): 4.4350 4.5658 6.6194 90.00 90.00 90.00
Fractional positions:
1 Ba 0.0000 0.0000 0.0000
2 Te 0.0000 0.5000 0.5000
3 Te 0.5000 0.0000 0.5000
4 Se 0.5000 0.5000 0.0000

# 2
A plane-wave DFT calculation with GGA-PBE was carried out for La6ErTm3 after structural relaxation.

Results
As for the crystal system: monoclinic. Its total DFT energy (no corrections) is -92.2 eV for the cell shown. The total magnetization is 0.0 μB per formula unit.

Lattice parameters (Å, degrees): 7.7905 9.3948 12.2012 90.00 129.58 90.00
Fractional positions:
1 La 0.0765 0.1692 0.3302
2 La 0.0765 0.3308 0.8302
3 La 0.1364 0.1348 0.6369
4 La 0.1364 0.3652 0.1369
5 La 0.3669 0.6337 0.8668
6 La 0.3669 0.8664 0.3668
7 La 0.6331 0.1336 0.6332
8 La 0.6331 0.3664 0.1332
9 La 0.8636 0.6348 0.8631
10 La 0.8636 0.8652 0.3631
11 La 0.9235 0.6692 0.1698
12 La 0.9235 0.8308 0.6698
13 Er 0.0000 0.0000 0.0000
14 Er 0.0000 0.5000 0.5000
15 Tm 0.4125 0.6681 0.1663
16 Tm 0.4125 0.8319 0.6663
17 Tm 0.5000 0.0000 0.0000
18 Tm 0.5000 0.5000 0.5000
19 Tm 0.5875 0.1681 0.3337
20 Tm 0.5875 0.3319 0.8337

# 3
A plane-wave DFT calculation with GGA-PBE was carried out for LaMg6Cu after structural relaxation.

Results
As for the crystal system: orthorhombic. Its total DFT energy (no corrections) is -18.5 eV for the cell shown. The total magnetization is 0.0 μB per formula unit.

Lattice parameters (Å, degrees): 4.8920 6.9580 6.9580 53.40 90.00 90.00
Fractional positions:
1 La 0.0000 0.0000 0.0000
2 Mg 0.0000 0.4415 0.4415
3 Mg 0.0000 0.4791 0.9732
4 Mg 0.0000 0.9732 0.4791
5 Mg 0.5000 0.1054 0.6089
6 Mg 0.5000 0.6007 0.6007
7 Mg 0.5000 0.6089 0.1054
8 Cu 0.5000 0.1668 0.1668

# 4
A plane-wave DFT calculation with GGA-PBE was carried out for HoZrBi after structural relaxation.

Results
As for the crystal system: tetragonal. Its total DFT energy (no corrections) is -35.2 eV for the cell shown. The total magnetization is 0.9 μB per formula unit.

Lattice parameters (Å, degrees): 4.1645 4.1645 9.7203 90.00 90.00 90.00
Fractional positions:
1 Ho 0.2500 0.2500 0.2344
2 Ho 0.7500 0.7500 0.7657
3 Zr 0.2500 0.2500 0.5689
4 Zr 0.7500 0.7500 0.4311
5 Bi 0.2500 0.2500 0.8878
6 Bi 0.7500 0.7500 0.1122